(1)
Y2InBi | PBE-GGA | optimized geometry

a = 8.3804 Å, b = 8.3804 Å, c = 6.8750 Å
α = 52.45°, β = 52.45°, γ = 90.00°
Closest atoms and distances in Å follow each position.
Fractional positions:
Y 0.6261 0.1250 0.2500  2 Bi 3.08, 2 In 3.09
Y 0.1239 0.6250 0.2500  2 Bi 3.08, 2 In 3.09
Y 0.3750 0.3739 0.7500  2 Bi 3.08, 2 In 3.09
Y 0.8750 0.8761 0.7500  2 Bi 3.08, 2 In 3.09
Bi 0.0000 0.0000 0.0000  4 Y 3.08
Bi 0.7500 0.2500 0.5000  4 Y 3.08
In 0.5000 0.5000 0.0000  4 Y 3.09
In 0.2500 0.7500 0.5000  4 Y 3.09

Summary:
Formation energy from the elements (eV per atom): -0.359
Distance to the lowest polymorph of the same formula (meV per atom): 309.2

=====

(2)
YInBi | PBE-GGA | optimized geometry

a = 3.4217 Å, b = 5.4254 Å, c = 5.4254 Å
α = 120.00°, β = 90.00°, γ = 90.00°
Closest atoms and distances in Å follow each position.
Fractional positions:
Y 0.3332 0.3333 0.6667  2 Y 3.42, 6 In 3.56-3.58, 6 Bi 3.56-3.58
Bi 0.8288 0.6667 0.3333  3 In 3.13, 2 Bi 3.42
In 0.8380 0.0000 0.0000  3 Bi 3.13, 2 In 3.42

Summary:
Formation energy from the elements (eV per atom): -0.290

=====

(3)
YInBi3 | PBE-GGA | optimized geometry

a = 5.9204 Å, b = 5.9204 Å, c = 5.9204 Å
α = 90.00°, β = 90.00°, γ = 90.00°
Closest atoms and distances in Å follow each position.
Fractional positions:
Y 0.0000 0.0000 0.0000  6 Bi 2.96
Bi 0.0000 0.5000 0.0000  2 Y 2.96
Bi 0.0000 0.0000 0.5000  2 Y 2.96
Bi 0.5000 0.0000 0.0000  2 Y 2.96
In 0.5000 0.5000 0.5000  12 Bi 4.19

Summary:
Formation energy from the elements (eV per atom): 0.225
Distance to the lowest polymorph of the same formula (meV per atom): 0.0

=====

(4)
YIn3Bi | PBE-GGA | optimized geometry

a = 5.7306 Å, b = 5.7306 Å, c = 5.7306 Å
α = 90.00°, β = 90.00°, γ = 90.00°
Closest atoms and distances in Å follow each position.
Fractional positions:
Y 0.5000 0.5000 0.5000  12 In 4.05
Bi 0.0000 0.0000 0.0000  6 In 2.87
In 0.0000 0.5000 0.0000  2 Bi 2.87
In 0.0000 0.0000 0.5000  2 Bi 2.87
In 0.5000 0.0000 0.0000  2 Bi 2.87

Summary:
Formation energy from the elements (eV per atom): 0.578
Distance to the lowest polymorph of the same formula (meV per atom): 0.0

=====

(5)
Y2InBi | PBE-GGA | optimized geometry

a = 4.2169 Å, b = 4.2169 Å, c = 8.4624 Å
α = 75.57°, β = 75.57°, γ = 60.00°
Closest atoms and distances in Å follow each position.
Fractional positions:
Y 0.2457 0.2457 0.2630  3 Bi 3.10, 3 In 3.24
Y 0.7543 0.7543 0.7370  3 Bi 3.10, 3 In 3.24
Bi 0.5000 0.5000 0.5000  6 Y 3.10
In 0.0000 0.0000 0.0000  6 Y 3.24

Summary:
Formation energy from the elements (eV per atom): -0.534
Distance to the lowest polymorph of the same formula (meV per atom): 134.7

=====

(6)
Y6In3Bi | PBE-GGA | optimized geometry

a = 7.3853 Å, b = 9.3012 Å, c = 9.3012 Å
α = 107.23°, β = 90.00°, γ = 90.00°
Closest atoms and distances in Å follow each position.
Fractional positions:
Y 0.0999 0.7701 0.6827  4 In 3.14-3.28, 3 Y 3.43-3.52
Y 0.5999 0.6827 0.7701  4 In 3.14-3.28, 3 Y 3.43-3.52
Y 0.2522 0.4937 0.8884  3 In 3.02-3.32, 1 Bi 3.22
Y 0.7522 0.8884 0.4937  3 In 3.02-3.32, 1 Bi 3.22
Y 0.2615 0.9690 0.0310  2 Bi 3.04-3.36, 4 In 3.10-3.22
Y 0.7051 0.2995 0.7005  1 Bi 3.26, 3 In 3.51-3.60, 2 Y 3.52
Y 0.2051 0.7005 0.2995  1 Bi 3.26, 3 In 3.51-3.60, 2 Y 3.52
Y 0.7615 0.0310 0.9690  2 Bi 3.04-3.36, 4 In 3.10-3.22
Y 0.2522 0.1116 0.5063  3 In 3.02-3.32, 1 Bi 3.22
Y 0.7522 0.5063 0.1116  3 In 3.02-3.32, 1 Bi 3.22
Y 0.0999 0.3173 0.2299  4 In 3.14-3.28, 3 Y 3.43-3.52
Y 0.5999 0.2299 0.3173  4 In 3.14-3.28, 3 Y 3.43-3.52
In 0.4590 0.9865 0.7283  6 Y 3.02-3.28, 1 In 3.15
In 0.9590 0.7283 0.9865  6 Y 3.02-3.28, 1 In 3.15
In 0.3366 0.4690 0.5310  6 Y 3.17-3.32
In 0.8366 0.5310 0.4690  6 Y 3.17-3.32
In 0.9590 0.0135 0.2717  6 Y 3.02-3.28, 1 In 3.15
In 0.4590 0.2717 0.0135  6 Y 3.02-3.28, 1 In 3.15
Bi 0.0602 0.1703 0.8297  5 Y 3.04-3.36, 2 In 3.40
Bi 0.5602 0.8297 0.1703  5 Y 3.04-3.36, 2 In 3.40

Summary:
Formation energy from the elements (eV per atom): -0.323

=====

(7)
Y4InBi | PBE-GGA | optimized geometry

a = 6.3211 Å, b = 8.5967 Å, c = 8.3087 Å
α = 113.75°, β = 102.98°, γ = 107.54°
Closest atoms and distances in Å follow each position.
Fractional positions:
Y 0.0435 0.2109 0.8277  2 In 3.12-3.16, 2 Bi 3.28-3.39, 2 Y 3.36-3.49
Y 0.7721 0.7049 0.6216  2 In 3.20, 2 Bi 3.28-3.40, 3 Y 3.49-3.55
Y 0.2842 0.6168 0.8277  2 In 3.12-3.16, 2 Bi 3.28-3.39, 2 Y 3.36-3.49
Y 0.3495 0.9166 0.6216  2 In 3.20, 2 Bi 3.28-3.40, 3 Y 3.49-3.55
Y 0.6505 0.0834 0.3784  2 In 3.20, 2 Bi 3.28-3.40, 3 Y 3.49-3.55
Y 0.7158 0.3832 0.1723  2 In 3.12-3.16, 2 Bi 3.28-3.39, 2 Y 3.36-3.49
Y 0.2279 0.2951 0.3784  2 In 3.20, 2 Bi 3.28-3.40, 3 Y 3.49-3.55
Y 0.9565 0.7891 0.1723  2 In 3.12-3.16, 2 Bi 3.28-3.39, 2 Y 3.36-3.49
In 0.2513 0.0013 0.0025  8 Y 3.12-3.20, 2 In 3.16
In 0.7487 0.9987 0.9975  8 Y 3.12-3.20, 2 In 3.16
Bi 0.3658 0.6158 0.2316  8 Y 3.28-3.40
Bi 0.6342 0.3842 0.7684  8 Y 3.28-3.40

Summary:
Formation energy from the elements (eV per atom): -0.419

=====

(8)
Y2InBi | PBE-GGA | optimized geometry

a = 4.0227 Å, b = 4.0227 Å, c = 6.9505 Å
α = 90.00°, β = 90.00°, γ = 90.00°
Closest atoms and distances in Å follow each position.
Fractional positions:
Y 0.0000 0.0000 0.7518  4 Bi 3.33, 4 In 3.34, 2 Y 3.45-3.50
Y 0.0000 0.0000 0.2482  4 Bi 3.33, 4 In 3.34, 2 Y 3.45-3.50
Bi 0.5000 0.5000 0.0000  8 Y 3.33, 2 In 3.48
In 0.5000 0.5000 0.5000  8 Y 3.34, 2 Bi 3.48

Summary:
Formation energy from the elements (eV per atom): -0.555
Distance to the lowest polymorph of the same formula (meV per atom): 114.0

=====

(9)
Y2InBi | PBE-GGA | optimized geometry

a = 5.4456 Å, b = 5.4456 Å, c = 5.4456 Å
α = 60.00°, β = 60.00°, γ = 60.00°
Closest atoms and distances in Å follow each position.
Fractional positions:
Y 0.2500 0.2500 0.2500  4 Bi 3.33, 4 In 3.33
Y 0.7500 0.7500 0.7500  4 Bi 3.33, 4 In 3.33
Bi 0.5000 0.5000 0.5000  8 Y 3.33
In 0.0000 0.0000 0.0000  8 Y 3.33

Summary:
Formation energy from the elements (eV per atom): -0.468
Distance to the lowest polymorph of the same formula (meV per atom): 200.3

=====

(10)
YInBi2 | PBE-GGA | optimized geometry

a = 4.3837 Å, b = 4.3837 Å, c = 8.1910 Å
α = 74.48°, β = 74.48°, γ = 60.00°
Closest atoms and distances in Å follow each position.
Fractional positions:
Y 0.0000 0.0000 0.0000  6 Bi 3.20
Bi 0.2492 0.2492 0.2523  3 In 3.18, 3 Y 3.20
Bi 0.7508 0.7508 0.7477  3 In 3.18, 3 Y 3.20
In 0.5000 0.5000 0.5000  6 Bi 3.18

Summary:
Formation energy from the elements (eV per atom): -0.238

=====

(11)
YInBi2 | PBE-GGA | optimized geometry

a = 4.7369 Å, b = 4.7369 Å, c = 7.4533 Å
α = 71.47°, β = 71.47°, γ = 60.00°
Closest atoms and distances in Å follow each position.
Fractional positions:
Y 0.6657 0.6657 0.0029  6 Bi 3.15-3.21, 1 In 3.50
In 0.4976 0.4976 0.5073  6 Bi 3.25-3.35, 1 Y 3.50
Bi 0.0797 0.0797 0.7610  3 Y 3.21, 3 In 3.25
Bi 0.2571 0.2571 0.2287  3 Y 3.15, 3 In 3.35

Summary:
Formation energy from the elements (eV per atom): -0.226

=====

(12)
Y2In2Bi | PBE-GGA | optimized geometry

a = 8.0499 Å, b = 8.0499 Å, c = 4.6599 Å
α = 90.00°, β = 90.00°, γ = 90.00°
Closest atoms and distances in Å follow each position.
Fractional positions:
Y 0.3392 0.8392 0.0000  2 Bi 3.02, 6 In 3.26-3.36
Y 0.8392 0.6608 0.0000  2 Bi 3.02, 6 In 3.26-3.36
Y 0.6608 0.1608 0.0000  2 Bi 3.02, 6 In 3.26-3.36
Y 0.1608 0.3392 0.0000  2 Bi 3.02, 6 In 3.26-3.36
Bi 0.0000 0.0000 0.0000  4 Y 3.02
Bi 0.5000 0.5000 0.0000  4 Y 3.02
In 0.1384 0.6384 0.5000  1 In 3.15, 6 Y 3.26-3.36
In 0.6384 0.8616 0.5000  1 In 3.15, 6 Y 3.26-3.36
In 0.8616 0.3616 0.5000  1 In 3.15, 6 Y 3.26-3.36
In 0.3616 0.1384 0.5000  1 In 3.15, 6 Y 3.26-3.36

Summary:
Formation energy from the elements (eV per atom): -0.383
Distance to the lowest polymorph of the same formula (meV per atom): 62.0

=====

(13)
YInBi3 | PBE-GGA | optimized geometry

a = 5.6891 Å, b = 5.6891 Å, c = 5.6891 Å
α = 90.00°, β = 90.00°, γ = 90.00°
Closest atoms and distances in Å follow each position.
Fractional positions:
Y 0.5000 0.5000 0.5000  12 Bi 4.02
Bi 0.0000 0.5000 0.0000  2 In 2.84
Bi 0.0000 0.0000 0.5000  2 In 2.84
Bi 0.5000 0.0000 0.0000  2 In 2.84
In 0.0000 0.0000 0.0000  6 Bi 2.84

Summary:
Formation energy from the elements (eV per atom): 0.451
Distance to the lowest polymorph of the same formula (meV per atom): 226.2

=====

(14)
YIn2Bi | PBE-GGA | optimized geometry

a = 4.7223 Å, b = 4.8068 Å, c = 4.8068 Å
α = 90.00°, β = 90.00°, γ = 90.00°
Closest atoms and distances in Å follow each position.
Fractional positions:
Y 0.5000 0.5000 0.5000  8 In 3.37, 4 Bi 3.40
Bi 0.5000 0.0000 0.0000  8 In 3.37, 4 Y 3.40
In 0.0000 0.0000 0.5000  4 Y 3.37, 4 Bi 3.37, 4 In 3.40
In 0.0000 0.5000 0.0000  4 Bi 3.37, 4 Y 3.37, 4 In 3.40

Summary:
Formation energy from the elements (eV per atom): -0.379

=====

(15)
Y2InBi | PBE-GGA | optimized geometry

a = 4.1806 Å, b = 4.1806 Å, c = 8.7182 Å
α = 76.13°, β = 76.13°, γ = 60.00°
Closest atoms and distances in Å follow each position.
Fractional positions:
Y 0.0777 0.0777 0.7668  3 Bi 3.09, 3 In 3.28
Y 0.2554 0.2554 0.2339  3 Bi 3.12, 3 In 3.30
In 0.4993 0.4993 0.5021  6 Y 3.28-3.30
Bi 0.6676 0.6676 0.9972  6 Y 3.09-3.12

Summary:
Formation energy from the elements (eV per atom): -0.463
Distance to the lowest polymorph of the same formula (meV per atom): 205.4

=====

(16)
Y2In2Bi | PBE-GGA | optimized geometry

a = 8.0114 Å, b = 8.0114 Å, c = 4.4429 Å
α = 90.00°, β = 90.00°, γ = 90.00°
Closest atoms and distances in Å follow each position.
Fractional positions:
Y 0.1713 0.6713 0.5000  6 In 3.19-3.28
Y 0.6713 0.8287 0.5000  6 In 3.19-3.28
Y 0.8287 0.3287 0.5000  6 In 3.19-3.28
Y 0.3287 0.1713 0.5000  6 In 3.19-3.28
Bi 0.0000 0.0000 0.0000  4 In 3.16
Bi 0.5000 0.5000 0.0000  4 In 3.16
In 0.3729 0.8729 0.0000  1 In 2.88, 2 Bi 3.16, 2 Y 3.19
In 0.8729 0.6271 0.0000  1 In 2.88, 2 Bi 3.16, 2 Y 3.19
In 0.6271 0.1271 0.0000  1 In 2.88, 2 Bi 3.16, 2 Y 3.19
In 0.1271 0.3729 0.0000  1 In 2.88, 2 Bi 3.16, 2 Y 3.19

Summary:
Formation energy from the elements (eV per atom): -0.445
Distance to the lowest polymorph of the same formula (meV per atom): 0.0

=====

(17)
Y3InBi | PBE-GGA | optimized geometry

a = 5.2807 Å, b = 8.2377 Å, c = 9.0152 Å
α = 117.19°, β = 90.00°, γ = 90.00°
Closest atoms and distances in Å follow each position.
Fractional positions:
Y 0.5000 0.3072 0.0000  2 Bi 3.06, 1 Y 3.18
Y 0.0000 0.7932 0.5864  2 Bi 3.09, 1 In 3.13, 4 Y 3.42
Y 0.5000 0.6928 0.0000  2 Bi 3.06, 1 Y 3.18
Y 0.5000 0.5000 0.5000  2 Bi 3.08, 4 Y 3.42
Y 0.0000 0.2068 0.4136  2 Bi 3.09, 1 In 3.13, 4 Y 3.42
Y 0.5000 0.0000 0.5000  2 Bi 3.08, 4 Y 3.42
In 0.0000 0.5983 0.1966  5 Y 3.13-3.46, 1 In 3.15
In 0.0000 0.4017 0.8034  5 Y 3.13-3.46, 1 In 3.15
Bi 0.5000 0.1071 0.2142  6 Y 3.06-3.09
Bi 0.5000 0.8929 0.7858  6 Y 3.06-3.09

Summary:
Formation energy from the elements (eV per atom): -0.100
Distance to the lowest polymorph of the same formula (meV per atom): 0.0

=====

(18)
YIn2Bi | PBE-GGA | optimized geometry

a = 3.4882 Å, b = 3.4882 Å, c = 12.1232 Å
α = 81.73°, β = 81.73°, γ = 60.00°
Closest atoms and distances in Å follow each position.
Fractional positions:
Y 0.0000 0.0000 0.0000  2 In 3.18, 6 Y 3.49
Bi 0.5000 0.5000 0.5000  6 In 3.45, 6 Bi 3.49
In 0.0886 0.0886 0.7341  1 Y 3.18, 3 Bi 3.45, 6 In 3.49
In 0.9114 0.9114 0.2659  1 Y 3.18, 3 Bi 3.45, 6 In 3.49

Summary:
Formation energy from the elements (eV per atom): 0.138

=====

(19)
Y5In2Bi | PBE-GGA | optimized geometry

a = 8.2565 Å, b = 8.2565 Å, c = 9.0136 Å
α = 117.26°, β = 117.26°, γ = 90.00°
Closest atoms and distances in Å follow each position.
Fractional positions:
Y 0.5069 0.6938 0.7006  3 In 3.15-3.19, 2 Bi 3.41, 1 Y 3.52
Y 0.8062 0.9931 0.2994  3 In 3.15-3.19, 2 Bi 3.41, 1 Y 3.52
Y 0.0000 0.0000 0.0000  4 In 3.19, 2 Bi 3.43
Y 0.5000 0.5000 0.0000  4 In 3.19, 2 Bi 3.43
Y 0.1938 0.0069 0.7006  3 In 3.15-3.19, 2 Bi 3.41, 1 Y 3.52
Y 0.6938 0.1938 0.7006  3 In 3.15-3.19, 2 Bi 3.41, 1 Y 3.52
Y 0.0069 0.5069 0.7006  3 In 3.15-3.19, 2 Bi 3.41, 1 Y 3.52
Y 0.3062 0.8062 0.2994  3 In 3.15-3.19, 2 Bi 3.41, 1 Y 3.52
Y 0.9931 0.4931 0.2994  3 In 3.15-3.19, 2 Bi 3.41, 1 Y 3.52
Y 0.4931 0.3062 0.2994  3 In 3.15-3.19, 2 Bi 3.41, 1 Y 3.52
In 0.1390 0.3610 0.0000  8 Y 3.15-3.19, 1 In 3.25
In 0.6390 0.1390 0.0000  8 Y 3.15-3.19, 1 In 3.25
In 0.3610 0.8610 0.0000  8 Y 3.15-3.19, 1 In 3.25
In 0.8610 0.6390 0.0000  8 Y 3.15-3.19, 1 In 3.25
Bi 0.7500 0.7500 0.5000  10 Y 3.41-3.43
Bi 0.2500 0.2500 0.5000  10 Y 3.41-3.43

Summary:
Formation energy from the elements (eV per atom): -0.509

=====

(20)
YInBi2 | PBE-GGA | optimized geometry

a = 7.1161 Å, b = 7.1161 Å, c = 8.3933 Å
α = 64.92°, β = 64.92°, γ = 90.00°
Closest atoms and distances in Å follow each position.
Fractional positions:
Y 0.5000 0.5000 0.0000  4 Bi 3.09
Y 0.2500 0.7500 0.5000  4 Bi 3.09
Bi 0.6396 0.1250 0.2500  2 In 2.97, 2 Y 3.09
Bi 0.1104 0.6250 0.2500  2 In 2.97, 2 Y 3.09
Bi 0.3750 0.3604 0.7500  2 In 2.97, 2 Y 3.09
Bi 0.8750 0.8896 0.7500  2 In 2.97, 2 Y 3.09
In 0.0000 0.0000 0.0000  4 Bi 2.97
In 0.7500 0.2500 0.5000  4 Bi 2.97

Summary:
Formation energy from the elements (eV per atom): -0.115

=====

no.,VASP energy (eV per atom)
1,-5.25
2,-4.65
3,-3.94
4,-3.13
5,-5.42
6,-5.41
7,-5.83
8,-5.44
9,-5.36
10,-4.48
11,-4.47
12,-4.84
13,-3.72
14,-4.33
15,-5.35
16,-4.90
17,-5.30
18,-3.82
19,-5.72
20,-4.36